Computed, not measured: a PBEsol-optimized structure of PdS3I at the SCAN level of DFT.

Computed properties:
E_form (uncorrected) (meV/atom): 1292
Energy (eV/atom): -18.3881
V (Å³ per cell): 123.8

Unit cell a=4.9836 b=4.9836 c=4.9836 alpha=90.00 beta=90.00 gamma=90.00
Closest atoms and distances in Å follow each position.
Positions (direct):
1 Pd 0.0000 0.0000 0.0000  12 S 3.52
2 S 0.0000 0.5000 0.5000  2 I 2.49
3 S 0.5000 0.0000 0.5000  2 I 2.49
4 S 0.5000 0.5000 0.0000  2 I 2.49
5 I 0.5000 0.5000 0.5000  6 S 2.49


Computed, not measured: a PBEsol-optimized structure of Hg2PBr at the SCAN level of DFT.

Computed properties:
E_form (uncorrected) (meV/atom): -149
Relative energy among the computed polymorphs (meV/atom): 21
Energy (eV/atom): -41.6969
V (Å³ per cell): 115.7

Unit cell a=4.4671 b=4.4656 c=5.7979 alpha=90.00 beta=90.09 gamma=90.00
Closest atoms and distances in Å follow each position.
Positions (direct):
1 Hg 0.0000 0.0000 0.0000  2 P 2.44
2 Hg 0.4989 0.5000 0.6582  2 P 2.44
3 P 0.9994 0.5000 0.8289  4 Hg 2.44
4 Br 0.5006 0.0000 0.3289  4 Hg 2.94


Computed, not measured: a PBEsol-optimized structure of LaNb2GaH at the SCAN level of DFT.

Computed properties:
Energy (eV/atom): -25.6758
V (Å³ per cell): 85.2

Unit cell a=4.1988 b=4.1988 c=4.8300 alpha=90.00 beta=90.00 gamma=90.00
Closest atoms and distances in Å follow each position.
Positions (direct):
1 La 0.0000 0.0000 0.0000  4 Ga 2.97, 8 Nb 3.20
2 Nb 0.0000 0.5000 0.5000  2 H 2.10
3 Nb 0.5000 0.0000 0.5000  2 H 2.10
4 Ga 0.5000 0.5000 0.0000  2 H 2.41
5 H 0.5000 0.5000 0.5000  4 Nb 2.10


Computed, not measured: a PBEsol-optimized structure of LaNi2 at the SCAN level of DFT.

Computed properties:
Energy (eV/atom): -25.0968
Energy relative to the elements (eV per atom): 0.054
V (Å³ per cell): 50.9

Unit cell a=5.1603 b=5.1603 c=5.1603 alpha=142.34 beta=142.34 gamma=54.32
Closest atoms and distances in Å follow each position.
Positions (direct):
1 La 0.0000 0.0000 0.0000  2 Ni 2.65
2 Ni 0.2881 0.2881 0.0000  4 Ni 2.46, 1 La 2.65
3 Ni 0.7119 0.7119 0.0000  4 Ni 2.46, 1 La 2.65


Computed, not measured: a PBEsol-optimized structure of La4Au2O9 at the SCAN level of DFT.

Computed properties:
E_form (uncorrected) (meV/atom): -2705
Energy (eV/atom): -27.1589
V (Å³ per cell): 908.2

Unit cell a=12.0111 b=6.2876 c=12.0260 alpha=90.00 beta=90.00 gamma=90.00
Closest atoms and distances in Å follow each position.
Positions (direct):
1 La 0.0112 0.2431 0.0891  7 O 2.38-2.54
2 La 0.0112 0.7569 0.5891  7 O 2.38-2.54
3 La 0.1596 0.1990 0.7637  7 O 2.38-2.63
4 La 0.1596 0.8010 0.2637  7 O 2.38-2.63
5 La 0.3404 0.3010 0.2637  7 O 2.38-2.63
6 La 0.3404 0.6990 0.7637  7 O 2.38-2.63
7 La 0.4888 0.2569 0.5891  7 O 2.38-2.54
8 La 0.4888 0.7431 0.0891  7 O 2.38-2.54
9 La 0.5112 0.2569 0.9109  7 O 2.38-2.54
10 La 0.5112 0.7431 0.4109  7 O 2.38-2.54
11 La 0.6596 0.3010 0.2363  7 O 2.38-2.63
12 La 0.6596 0.6990 0.7363  7 O 2.38-2.63
13 La 0.8404 0.1990 0.7363  7 O 2.38-2.63
14 La 0.8404 0.8010 0.2363  7 O 2.38-2.63
15 La 0.9888 0.2431 0.4109  7 O 2.38-2.54
16 La 0.9888 0.7569 0.9109  7 O 2.38-2.54
17 Au 0.2290 0.4215 0.5104  4 O 1.98-2.03
18 Au 0.2290 0.5785 0.0104  4 O 1.98-2.03
19 Au 0.2710 0.0785 0.0104  4 O 1.98-2.03
20 Au 0.2710 0.9215 0.5104  4 O 1.98-2.03
21 Au 0.7290 0.0785 0.4896  4 O 1.98-2.03
22 Au 0.7290 0.9215 0.9896  4 O 1.98-2.03
23 Au 0.7710 0.4215 0.9896  4 O 1.98-2.03
24 Au 0.7710 0.5785 0.4896  4 O 1.98-2.03
25 O 0.0000 0.0232 0.2500  4 La 2.38
26 O 0.0000 0.9768 0.7500  4 La 2.38
27 O 0.0792 0.3902 0.5861  1 Au 2.03
28 O 0.0792 0.6098 0.0861  1 Au 2.03
29 O 0.1171 0.0549 0.9466  1 Au 2.01
30 O 0.1171 0.9451 0.4466  1 Au 2.01
31 O 0.1640 0.4434 0.3546  1 Au 2.03
32 O 0.1640 0.5566 0.8546  1 Au 2.03
33 O 0.1983 0.1190 0.1568  1 Au 1.98
34 O 0.1983 0.8810 0.6568  1 Au 1.98
35 O 0.3017 0.3810 0.6568  1 Au 1.98
36 O 0.3017 0.6190 0.1568  1 Au 1.98
37 O 0.3360 0.0566 0.8546  1 Au 2.03
38 O 0.3360 0.9434 0.3546  1 Au 2.03
39 O 0.3829 0.4451 0.4466  1 Au 2.01
40 O 0.3829 0.5549 0.9466  1 Au 2.01
41 O 0.4208 0.1098 0.0861  1 Au 2.03
42 O 0.4208 0.8902 0.5861  1 Au 2.03
43 O 0.5000 0.4768 0.7500  4 La 2.38
44 O 0.5000 0.5232 0.2500  4 La 2.38
45 O 0.5792 0.1098 0.4139  1 Au 2.03
46 O 0.5792 0.8902 0.9139  1 Au 2.03
47 O 0.6171 0.4451 0.0534  1 Au 2.01
48 O 0.6171 0.5549 0.5534  1 Au 2.01
49 O 0.6640 0.0566 0.6454  1 Au 2.03
50 O 0.6640 0.9434 0.1454  1 Au 2.03
51 O 0.6983 0.3810 0.8432  1 Au 1.98
52 O 0.6983 0.6190 0.3432  1 Au 1.98
53 O 0.8017 0.1190 0.3432  1 Au 1.98
54 O 0.8017 0.8810 0.8432  1 Au 1.98
55 O 0.8360 0.4434 0.1454  1 Au 2.03
56 O 0.8360 0.5566 0.6454  1 Au 2.03
57 O 0.8829 0.0549 0.5534  1 Au 2.01
58 O 0.8829 0.9451 0.0534  1 Au 2.01
59 O 0.9208 0.3902 0.9139  1 Au 2.03
60 O 0.9208 0.6098 0.4139  1 Au 2.03


Computed, not measured: a PBEsol-optimized structure of LiScAl2 at the SCAN level of DFT.

Computed properties:
Energy (eV/atom): -8.3402
Energy relative to the elements (eV per atom): -0.308
V (Å³ per cell): 69.9

Unit cell a=4.4137 b=4.4137 c=3.5896 alpha=90.00 beta=90.00 gamma=90.00
Closest atoms and distances in Å follow each position.
Positions (direct):
1 Li 0.0000 0.0000 0.0000  8 Al 2.84, 4 Sc 3.12
2 Sc 0.5000 0.5000 0.0000  8 Al 2.84, 4 Li 3.12
3 Al 0.0000 0.5000 0.5000  4 Sc 2.84, 4 Li 2.84, 4 Al 3.12
4 Al 0.5000 0.0000 0.5000  4 Sc 2.84, 4 Li 2.84, 4 Al 3.12


Computed, not measured: a PBEsol-optimized structure of AgHg3 at the SCAN level of DFT.

Computed properties:
Energy (eV/atom): -58.8769
Energy relative to the elements (eV per atom): 0.089
V (Å³ per cell): 82.7

Unit cell a=3.0814 b=3.0814 c=8.7070 alpha=90.00 beta=90.00 gamma=90.00
Closest atoms and distances in Å follow each position.
Positions (direct):
1 Ag 0.0000 0.0000 0.0000  8 Hg 2.96, 4 Ag 3.08
2 Hg 0.0000 0.0000 0.5000  12 Hg 3.08-3.20
3 Hg 0.5000 0.5000 0.2308  4 Ag 2.96, 8 Hg 3.08-3.20
4 Hg 0.5000 0.5000 0.7692  4 Ag 2.96, 8 Hg 3.08-3.20


Computed, not measured: a PBEsol-optimized structure of KDy3F10 at the SCAN level of DFT.

Computed properties:
E_form (uncorrected) (meV/atom): -4273
Energy (eV/atom): -17.6383
V (Å³ per cell): 377.4

Unit cell a=8.1115 b=8.1115 c=8.1115 alpha=60.00 beta=60.00 gamma=60.00
Closest atoms and distances in Å follow each position.
Positions (direct):
1 K 0.2500 0.2500 0.2500  4 F 2.74
2 K 0.7500 0.7500 0.7500  4 F 2.74
3 Dy 0.2398 0.2398 0.7602  8 F 2.19-2.33
4 Dy 0.2398 0.7602 0.2398  8 F 2.19-2.33
5 Dy 0.2398 0.7602 0.7602  8 F 2.19-2.33
6 Dy 0.7602 0.2398 0.2398  8 F 2.19-2.33
7 Dy 0.7602 0.2398 0.7602  8 F 2.19-2.33
8 Dy 0.7602 0.7602 0.2398  8 F 2.19-2.33
9 F 0.1121 0.1121 0.1121  3 Dy 2.33, 3 F 2.57
10 F 0.1121 0.1121 0.6638  3 Dy 2.33, 3 F 2.57
11 F 0.1121 0.6638 0.1121  3 Dy 2.33, 3 F 2.57
12 F 0.1688 0.5000 0.5000  2 Dy 2.19
13 F 0.1688 0.5000 0.8312  2 Dy 2.19
14 F 0.1688 0.8312 0.5000  2 Dy 2.19
15 F 0.3362 0.8879 0.8879  3 Dy 2.33, 3 F 2.57
16 F 0.5000 0.1688 0.5000  2 Dy 2.19
17 F 0.5000 0.1688 0.8312  2 Dy 2.19
18 F 0.5000 0.5000 0.1688  2 Dy 2.19
19 F 0.5000 0.5000 0.8312  2 Dy 2.19
20 F 0.5000 0.8312 0.1688  2 Dy 2.19
21 F 0.5000 0.8312 0.5000  2 Dy 2.19
22 F 0.6638 0.1121 0.1121  3 Dy 2.33, 3 F 2.57
23 F 0.8312 0.1688 0.5000  2 Dy 2.19
24 F 0.8312 0.5000 0.1688  2 Dy 2.19
25 F 0.8312 0.5000 0.5000  2 Dy 2.19
26 F 0.8879 0.3362 0.8879  3 Dy 2.33, 3 F 2.57
27 F 0.8879 0.8879 0.3362  3 Dy 2.33, 3 F 2.57
28 F 0.8879 0.8879 0.8879  3 Dy 2.33, 3 F 2.57